(1)
Cs2Se2S (SCAN, PBEsol geometry); energy relative to the elements, uncorrected = -0.7399 eV per atom
1.0
6.158 -0.014 -0.022
-2.270 5.725 0.022
-2.270 -2.634 5.083
Cs S Se
2 1 2
Cartesian
0.809 3.628 1.276 Cs
0.809 -0.551 3.807 Cs
0.000 0.000 0.000 S
-3.051 2.077 3.431 Se
-1.489 1.014 1.674 Se

=====

(2)
Cs2SeS (SCAN, PBEsol geometry); energy relative to the elements, uncorrected = -0.8216 eV per atom
1.0
5.108 0.000 0.000
2.554 8.188 0.000
2.554 0.000 8.188
Cs S Se
4 2 2
Cartesian
4.470 1.182 5.276 Cs
4.470 7.006 2.912 Cs
3.193 2.912 1.182 Cs
8.301 5.276 7.006 Cs
2.554 0.000 0.000 S
3.831 4.094 4.094 S
0.000 0.000 0.000 Se
6.385 4.094 4.094 Se

=====

(3)
CsSe3S (SCAN, PBEsol geometry); energy relative to the elements, uncorrected = -0.0623 eV per atom
1.0
5.053 0.000 0.000
0.000 5.053 0.000
0.000 0.000 5.053
Cs S Se
1 1 3
Cartesian
2.526 2.526 2.526 Cs
0.000 0.000 0.000 S
0.000 2.526 0.000 Se
0.000 0.000 2.526 Se
2.526 0.000 0.000 Se